{"formula": "H2OsRu4", "functional": "PBE-GGA", "state": "relaxed", "total_magnetization_mub_per_fu": 1.6, "e_tot_ev_per_atom": -6.40, "spacegroup": "No. 139", "density_g_cm3": 10.09, "lattice_angstrom": [[4.649, 0.000, 0.000], [0.000, 4.649, 0.000], [0.000, 0.000, 9.087]], "species": ["H", "H", "H", "H", "Os", "Os", "Ru", "Ru", "Ru", "Ru", "Ru", "Ru", "Ru", "Ru"], "frac_coords": [[0.000, 0.000, 0.055], [0.000, 0.000, 0.945], [0.500, 0.500, 0.445], [0.500, 0.500, 0.555], [0.000, 0.000, 0.500], [0.500, 0.500, 0.000], [0.000, 0.000, 0.234], [0.000, 0.000, 0.766], [0.000, 0.500, 0.000], [0.000, 0.500, 0.500], [0.500, 0.000, 0.000], [0.500, 0.000, 0.500], [0.500, 0.500, 0.266], [0.500, 0.500, 0.734]]}



{"formula": "HOsRu3", "functional": "PBE-GGA", "state": "relaxed", "total_magnetization_mub_per_fu": 0.0, "e_tot_ev_per_atom": -8.35, "spacegroup": "No. 221", "de_polymorph_mev_per_atom": 0, "density_g_cm3": 14.11, "lattice_angstrom": [[3.875, 0.000, 0.000], [0.000, 3.875, 0.000], [0.000, 0.000, 3.875]], "species": ["H", "Os", "Ru", "Ru", "Ru"], "frac_coords": [[0.000, 0.000, 0.000], [0.500, 0.500, 0.500], [0.000, 0.000, 0.500], [0.000, 0.500, 0.000], [0.500, 0.000, 0.000]]}



{"formula": "H2OsRu2", "functional": "PBE-GGA", "state": "relaxed", "total_magnetization_mub_per_fu": 0.0, "e_tot_ev_per_atom": -6.93, "spacegroup": "No. 127", "de_polymorph_mev_per_atom": 203, "density_g_cm3": 13.22, "lattice_angstrom": [[5.944, 0.000, 0.000], [0.000, 5.944, 0.000], [0.000, 0.000, 2.805]], "species": ["H", "H", "H", "H", "Os", "Os", "Ru", "Ru", "Ru", "Ru"], "frac_coords": [[0.212, 0.288, 0.000], [0.288, 0.788, 0.000], [0.712, 0.212, 0.000], [0.788, 0.712, 0.000], [0.000, 0.000, 0.000], [0.500, 0.500, 0.000], [0.142, 0.642, 0.500], [0.358, 0.142, 0.500], [0.642, 0.858, 0.500], [0.858, 0.358, 0.500]]}



{"formula": "H2OsRu2", "functional": "PBE-GGA", "state": "relaxed", "total_magnetization_mub_per_fu": 0.0, "e_tot_ev_per_atom": -7.14, "spacegroup": "No. 139", "de_polymorph_mev_per_atom": 0, "density_g_cm3": 13.64, "lattice_angstrom": [[2.810, 0.000, 0.000], [0.000, 2.810, 0.000], [0.000, 0.000, 12.164]], "species": ["H", "H", "H", "H", "Os", "Os", "Ru", "Ru", "Ru", "Ru"], "frac_coords": [[0.000, 0.500, 0.250], [0.000, 0.500, 0.750], [0.500, 0.000, 0.250], [0.500, 0.000, 0.750], [0.000, 0.000, 0.000], [0.500, 0.500, 0.500], [0.000, 0.000, 0.351], [0.000, 0.000, 0.649], [0.500, 0.500, 0.149], [0.500, 0.500, 0.851]]}



{"formula": "H2OsRu", "functional": "PBE-GGA", "state": "relaxed", "total_magnetization_mub_per_fu": 0.0, "e_tot_ev_per_atom": -5.78, "spacegroup": "No. 225", "de_polymorph_mev_per_atom": 630, "density_g_cm3": 13.54, "lattice_angstrom": [[5.240, 0.000, 0.000], [0.000, 5.240, 0.000], [0.000, 0.000, 5.240]], "species": ["H", "H", "H", "H", "H", "H", "H", "H", "Os", "Os", "Os", "Os", "Ru", "Ru", "Ru", "Ru"], "frac_coords": [[0.250, 0.250, 0.250], [0.250, 0.250, 0.750], [0.250, 0.750, 0.250], [0.250, 0.750, 0.750], [0.750, 0.250, 0.250], [0.750, 0.250, 0.750], [0.750, 0.750, 0.250], [0.750, 0.750, 0.750], [0.000, 0.000, 0.000], [0.000, 0.500, 0.500], [0.500, 0.000, 0.500], [0.500, 0.500, 0.000], [0.000, 0.000, 0.500], [0.000, 0.500, 0.000], [0.500, 0.000, 0.000], [0.500, 0.500, 0.500]]}



{"formula": "Sc2HOsRu", "functional": "PBE-GGA", "state": "relaxed", "total_magnetization_mub_per_fu": 0.0, "e_tot_ev_per_atom": -7.73, "spacegroup": "No. 123", "density_g_cm3": 9.12, "lattice_angstrom": [[4.549, 0.000, 0.000], [0.000, 4.549, 0.000], [0.000, 0.000, 3.364]], "species": ["Sc", "Sc", "H", "Os", "Ru"], "frac_coords": [[0.000, 0.500, 0.000], [0.500, 0.000, 0.000], [0.000, 0.000, 0.000], [0.500, 0.500, 0.500], [0.000, 0.000, 0.500]]}



{"formula": "TaHOs2Ru", "functional": "PBE-GGA", "state": "relaxed", "total_magnetization_mub_per_fu": 0.0, "e_tot_ev_per_atom": -9.45, "spacegroup": "No. 123", "de_polymorph_mev_per_atom": 50, "density_g_cm3": 17.68, "lattice_angstrom": [[3.918, 0.000, 0.000], [0.000, 3.918, 0.000], [0.000, 0.000, 4.058]], "species": ["Ta", "H", "Os", "Os", "Ru"], "frac_coords": [[0.000, 0.000, 0.000], [0.000, 0.000, 0.500], [0.000, 0.500, 0.500], [0.500, 0.000, 0.500], [0.500, 0.500, 0.000]]}



{"formula": "TaHOs2Ru", "functional": "PBE-GGA", "state": "relaxed", "total_magnetization_mub_per_fu": 0.0, "e_tot_ev_per_atom": -9.50, "spacegroup": "No. 123", "de_polymorph_mev_per_atom": 0, "density_g_cm3": 17.72, "lattice_angstrom": [[3.953, 0.000, 0.000], [0.000, 3.953, 0.000], [0.000, 0.000, 3.978]], "species": ["Ta", "H", "Os", "Os", "Ru"], "frac_coords": [[0.000, 0.000, 0.000], [0.500, 0.500, 0.500], [0.000, 0.500, 0.500], [0.500, 0.000, 0.500], [0.500, 0.500, 0.000]]}



{"formula": "Ta2HOsRu", "functional": "PBE-GGA", "state": "relaxed", "total_magnetization_mub_per_fu": 0.0, "e_tot_ev_per_atom": -9.71, "spacegroup": "No. 123", "de_polymorph_mev_per_atom": 0, "density_g_cm3": 16.31, "lattice_angstrom": [[4.273, 0.000, 0.000], [0.000, 4.273, 0.000], [0.000, 0.000, 3.647]], "species": ["Ta", "Ta", "H", "Os", "Ru"], "frac_coords": [[0.000, 0.500, 0.000], [0.500, 0.000, 0.000], [0.000, 0.000, 0.000], [0.500, 0.500, 0.500], [0.000, 0.000, 0.500]]}



{"formula": "Ta2HOsRu", "functional": "PBE-GGA", "state": "relaxed", "total_magnetization_mub_per_fu": 0.0, "e_tot_ev_per_atom": -9.67, "spacegroup": "No. 123", "de_polymorph_mev_per_atom": 38, "density_g_cm3": 16.25, "lattice_angstrom": [[4.264, 0.000, 0.000], [0.000, 4.264, 0.000], [0.000, 0.000, 3.677]], "species": ["Ta", "Ta", "H", "Os", "Ru"], "frac_coords": [[0.000, 0.500, 0.000], [0.500, 0.000, 0.000], [0.000, 0.000, 0.000], [0.000, 0.000, 0.500], [0.500, 0.500, 0.500]]}



{"formula": "TaHOsRu2", "functional": "PBE-GGA", "state": "relaxed", "total_magnetization_mub_per_fu": 0.0, "e_tot_ev_per_atom": -9.13, "spacegroup": "No. 123", "de_polymorph_mev_per_atom": 30, "density_g_cm3": 15.45, "lattice_angstrom": [[3.913, 0.000, 0.000], [0.000, 3.913, 0.000], [0.000, 0.000, 4.032]], "species": ["Ta", "H", "Os", "Ru", "Ru"], "frac_coords": [[0.000, 0.000, 0.000], [0.000, 0.000, 0.500], [0.500, 0.500, 0.000], [0.000, 0.500, 0.500], [0.500, 0.000, 0.500]]}



{"formula": "TaHOsRu2", "functional": "PBE-GGA", "state": "relaxed", "total_magnetization_mub_per_fu": 0.0, "e_tot_ev_per_atom": -9.16, "spacegroup": "No. 123", "de_polymorph_mev_per_atom": 0, "density_g_cm3": 15.45, "lattice_angstrom": [[3.957, 0.000, 0.000], [0.000, 3.957, 0.000], [0.000, 0.000, 3.941]], "species": ["Ta", "H", "Os", "Ru", "Ru"], "frac_coords": [[0.000, 0.000, 0.000], [0.500, 0.500, 0.500], [0.500, 0.500, 0.000], [0.000, 0.500, 0.500], [0.500, 0.000, 0.500]]}